1.
Material: Sr2LaW
Method: DFT, SCAN
State: single point on PBEsol structure

```
Sr2LaW
1.0
-1.8949 3.3179 -2.7771
-1.5796 -3.3530 -2.9281
-2.7055 -0.2537 5.5601
La Sr W
1 2 1
Direct
0.0000 0.0000 0.0000
0.2500 0.7500 0.5000
0.7500 0.2500 0.5000
0.5000 0.5000 0.0000
```

Output
uncorrected energy: -38.218 eV per atom
energy of formation from the pure elements: 1.118 eV per atom
space group: No. 139

=====

2.
Material: Sr2LaW
Method: DFT, SCAN
State: single point on PBEsol structure

```
Sr2LaW
1.0
3.2018 0.0000 0.0000
0.0000 6.2898 0.0000
0.0000 -3.1449 5.5727
La Sr W
1 2 1
Direct
0.5000 0.5000 0.0000
0.0000 0.0000 0.5000
0.0000 0.5000 0.5000
0.5000 0.0000 0.0000
```

Output
uncorrected energy: -38.119 eV per atom
energy of formation from the pure elements: 1.217 eV per atom
space group: No. 65

=====

3.
Material: Sr2LaW
Method: DFT, SCAN
State: single point on PBEsol structure

```
Sr2LaW
1.0
-3.2508 0.9539 -0.4588
-1.2965 -4.5120 -0.1948
1.0122 1.7577 9.2193
La W Sr
1 1 2
Direct
0.0000 0.5000 0.0000
0.5000 0.0000 0.0000
0.8399 0.8399 0.6797
0.1601 0.1601 0.3203
```

Output
uncorrected energy: -38.550 eV per atom
energy of formation from the pure elements: 0.786 eV per atom
space group: No. 71